# 1
Computed, not measured: a relaxed La4HoTl crystal at the PBE level of DFT.

abc: 6.303 7.174 9.065
angles: 90.00 104.59 90.00
Space group P2_1/m (No. 11)
Symmetry-distinct sites (fractional):
La 0.000 0.000 0.000
La 0.222 0.000 0.655
La 0.489 0.250 0.004
Ho 0.297 0.750 0.330
Tl 0.283 0.250 0.341

Output
The formation energy is -0.116 eV per atom. As for the volume: 33.1 Å³ per atom. The calculation puts the distance to the lowest polymorph of the same formula at 0 meV/atom. For the total magnetic moment, the calculation gives 0.00 μB/f.u.

=====

# 2
Computed, not measured: a relaxed RbCr2Ag crystal at the PBE level of DFT.

abc: 7.380 7.380 7.380
angles: 90.00 90.00 90.00
Space group Fm-3m (No. 225)
Symmetry-distinct sites (fractional):
Rb 0.000 0.000 0.000
Cr 0.250 0.250 0.250
Ag 0.000 0.000 0.500

Output
The formation energy is 1.256 eV per atom. As for the volume: 25.1 Å³ per atom. The calculation puts the distance to the lowest polymorph of the same formula at 105 meV/atom. For the total magnetic moment, the calculation gives 9.51 μB/f.u.

=====

# 3
Computed, not measured: a relaxed NaTa2As2 crystal at the PBE level of DFT.

abc: 4.926 4.926 8.947
angles: 90.00 90.00 90.00
Space group I4/mmm (No. 139)
Symmetry-distinct sites (fractional):
Na 0.000 0.000 0.000
Ta 0.000 0.000 0.354
As 0.000 0.500 0.250

Output
The formation energy is 0.110 eV per atom. As for the volume: 21.7 Å³ per atom. The calculation puts the distance to the lowest polymorph of the same formula at 231 meV/atom. For the total magnetic moment, the calculation gives 0.00 μB/f.u.